1.
VASP calculation (PBE-GGA) on an optimized crystal structure of Tl5F.

Results
**E**: -2.73 eV/atom
**Formation energy (no corrections)**: -0.44 eV per atom
**Volume**: 352.7 Å³ per cell
**M_tot**: 0.0 μB per formula unit

Cell lengths 3.5380, 17.4440, 5.7145 Å; angles 90.00, 90.00, 90.00 degrees
Space group Cmmm (No. 65)
One atom of each set of equivalent atoms:
Tl: 0.0000 0.0000 0.0000 x2
Tl: 0.0000 0.1207 0.5000 x4
Tl: 0.0000 0.3300 0.0000 x4
F: 0.0000 0.5000 0.5000 x2

=====

2.
VASP calculation (PBE-GGA) on an optimized crystal structure of LiRuRh.

Results
**E**: -5.37 eV/atom
**Volume**: 167.2 Å³ per cell
**M_tot**: 1.1 μB per formula unit
**Energy of formation from the pure elements**: 0.815 eV/atom
**Energy above the most stable polymorph in this dataset**: 787 meV/atom

Cell lengths 5.5087, 5.5087, 5.5087 Å; angles 90.00, 90.00, 90.00 degrees
Space group F-43m (No. 216)
One atom of each set of equivalent atoms:
Li: 0.0000 0.0000 0.0000 x4
Ru: 0.2500 0.2500 0.7500 x4
Rh: 0.2500 0.2500 0.2500 x4

=====

3.
VASP calculation (PBE-GGA) on an optimized crystal structure of SiAu2Cl.

Results
**E**: -3.24 eV/atom
**Formation energy (no corrections)**: 0.21 eV per atom
**Volume**: 74.1 Å³ per cell
**M_tot**: 0.0 μB per formula unit
**Energy above the most stable polymorph in this dataset**: 292 meV/atom

Cell lengths 3.1297, 3.1893, 7.4253 Å; angles 90.00, 90.00, 90.00 degrees
Space group Pmmm (No. 47)
One atom of each set of equivalent atoms:
Si: 0.0000 0.0000 0.0000 x1
Au: 0.5000 0.5000 0.2140 x2
Cl: 0.0000 0.0000 0.5000 x1

=====

4.
VASP calculation (PBE-GGA) on an optimized crystal structure of SrPuH2Cl8.

Results
**E**: -4.60 eV/atom
**Volume**: 409.0 Å³ per cell
**M_tot**: 4.0 μB per formula unit

Cell lengths 6.8192, 7.1690, 8.3704 Å; angles 91.57, 90.18, 90.44 degrees
Space group P-1 (No. 2)
One atom of each set of equivalent atoms:
Sr: 0.0000 0.0000 0.0000 x1
Pu: 0.0000 0.0000 0.5000 x1
H: 0.2491 0.6854 0.2162 x2
Cl: 0.1922 0.1740 0.2761 x2
Cl: 0.2228 0.7148 0.4528 x2
Cl: 0.2303 0.1249 0.7322 x2
Cl: 0.2617 0.6710 0.0557 x2

=====

5.
VASP calculation (PBE-GGA) on an optimized crystal structure of MgZnGa2.

Results
**E**: -2.23 eV/atom
**Volume**: 150.6 Å³ per cell
**M_tot**: 0.0 μB per formula unit
**Energy of formation from the pure elements**: -0.003 eV/atom

Cell lengths 8.5404, 2.9493, 6.8873 Å; angles 90.00, 119.76, 90.00 degrees
Space group Cm (No. 8)
One atom of each set of equivalent atoms:
Mg: 0.0000 0.0000 0.0000 x2
Zn: 0.2623 0.5000 0.4836 x2
Ga: 0.1068 0.5000 0.7310 x2
Ga: 0.3906 0.0000 0.2637 x2

=====

6.
VASP calculation (PBE-GGA) on an optimized crystal structure of CoRhC2.

Results
**E**: -6.85 eV/atom
**Volume**: 143.2 Å³ per cell
**M_tot**: 1.3 μB per formula unit
**Energy of formation from the pure elements**: 1.381 eV/atom
**Energy above the most stable polymorph in this dataset**: 796 meV/atom

Cell lengths 5.2312, 5.2312, 5.2312 Å; angles 90.00, 90.00, 90.00 degrees
Space group Fm-3m (No. 225)
One atom of each set of equivalent atoms:
Co: 0.0000 0.0000 0.0000 x4
Rh: 0.0000 0.0000 0.5000 x4
C: 0.2500 0.2500 0.2500 x8

=====

7.
VASP calculation (PBE-GGA) on an optimized crystal structure of Na2ScPb2.

Results
**E**: -3.31 eV/atom
**Volume**: 287.6 Å³ per cell
**M_tot**: 0.0 μB per formula unit
**Energy of formation from the pure elements**: -0.031 eV/atom
**Energy above the most stable polymorph in this dataset**: 0 meV/atom

Cell lengths 8.0745, 8.0745, 4.4112 Å; angles 90.00, 90.00, 90.00 degrees
Space group P4/mbm (No. 127)
One atom of each set of equivalent atoms:
Na: 0.1581 0.3419 0.0000 x4
Sc: 0.0000 0.0000 0.5000 x2
Pb: 0.1433 0.6433 0.5000 x4